1.
5
Lattice="-2.0883 -0.3949 2.9772 2.9824 0.1539 2.1124 -1.0588 6.4110 -2.1395" Properties=species:S:1:pos:R:3 comment="TlZn2Pt2 PBEsol optimized geometry" spacegroup="I4/mmm, No. 139" e_form_mev_per_atom=-229 pbc="T T T"
Tl 0.0000 0.0000 0.0000
Zn 1.1853 3.2222 1.2589
Zn -1.3500 2.9478 1.6913
Pt -0.4809 4.9446 0.3186
Pt 0.3162 1.2255 2.6315

---

2.
4
Lattice="5.3663 0.0000 0.0000 0.0000 5.3663 0.0000 -2.6831 -2.6831 5.6841" Properties=species:S:1:pos:R:3 comment="K2BaTe PBEsol optimized geometry" spacegroup="I-4m2, No. 119" raw_formation_energy_ev_per_atom=-0.4527 pbc="T T T"
Ba 0.0000 2.6831 2.8421
K 0.0000 0.0000 0.0000
K 2.6831 0.0000 2.8421
Te 2.6831 2.6831 0.0000

---

3.
4
Lattice="-3.6536 -0.1492 -0.3786 -0.0722 -4.0413 2.2899 1.3438 4.4235 3.1369" Properties=species:S:1:pos:R:3 comment="ZrTeAs2 PBEsol optimized geometry" spacegroup="Immm, No. 71" raw_formation_energy_ev_per_atom=-0.2434 pbc="T T T"
As -2.1230 -0.9288 3.0061
As -0.2591 1.1618 2.0421
Te -0.0361 -2.0206 1.1450
Zr -1.8268 -0.0746 -0.1893

---

4.
5
Lattice="3.3658 0.0000 0.0000 0.0000 3.3658 0.0000 -1.6829 -1.6829 6.3282" Properties=species:S:1:pos:R:3 comment="Al2Fe2Si PBEsol optimized geometry" spacegroup="I4/mmm, No. 139" raw_formation_energy_ev_per_atom=0.2699 pbc="T T T"
Si 0.0000 0.0000 0.0000
Fe 0.0000 1.6829 3.1641
Fe 1.6829 0.0000 3.1641
Al 0.0000 0.0000 5.0125
Al 1.6829 1.6829 1.3157

---

5.
5
Lattice="2.9853 0.0000 0.0000 -1.4926 2.5853 0.0000 0.0000 0.0000 5.3075" Properties=species:S:1:pos:R:3 comment="Li2MnN2 PBEsol optimized geometry" spacegroup="P-3m1, No. 164" raw_formation_energy_ev_per_atom=-0.5181 pbc="T T T"
N 0.0000 1.7236 1.0628
N 1.4926 0.8618 4.2446
Mn 0.0000 0.0000 0.0000
Li 0.0000 1.7236 3.4110
Li 1.4926 0.8618 1.8965

---

6.
5
Lattice="5.2144 0.0000 0.0000 0.0000 5.2051 0.0000 0.0000 0.0000 5.2051" Properties=species:S:1:pos:R:3 comment="CsTePS2 PBEsol optimized geometry" spacegroup="P4/mmm, No. 123" raw_formation_energy_ev_per_atom=0.1092 pbc="T T T"
Cs 2.6072 2.6025 2.6025
P 2.6072 0.0000 0.0000
S 0.0000 0.0000 2.6025
S 0.0000 2.6025 0.0000
Te 0.0000 0.0000 0.0000

---

7.
4
Lattice="3.5594 0.0000 0.0000 0.0000 3.5594 0.0000 0.0000 0.0000 8.4738" Properties=species:S:1:pos:R:3 comment="KAuSe2 PBEsol optimized geometry" spacegroup="P4mm, No. 99" raw_formation_energy_ev_per_atom=-0.1449 pbc="T T T"
Au 0.0000 0.0000 2.6910
K 1.7797 1.7797 6.5745
Se 0.0000 0.0000 0.0631
Se 1.7797 1.7797 3.3821

---

8.
5
Lattice="-2.7414 1.7983 2.2715 -0.7145 -3.4503 1.8693 2.9736 0.9297 2.8526" Properties=species:S:1:pos:R:3 comment="NaHgOF2 PBEsol optimized geometry" spacegroup="P4/mmm, No. 123" raw_formation_energy_ev_per_atom=-0.7443 pbc="T T T"
Na 0.0000 0.0000 0.0000
Hg -0.2411 -0.3611 3.4967
O 1.4868 0.4649 1.4263
F -0.3572 -1.7251 0.9346
F -1.3707 0.8992 1.1358

---

9.
5
Lattice="-2.7712 0.8019 3.4759 -2.5128 -3.7546 -1.1372 2.6872 -2.6312 2.7495" Properties=species:S:1:pos:R:3 comment="ScNbNiSe2 PBEsol optimized geometry" spacegroup="P4/mmm, No. 123" raw_formation_energy_ev_per_atom=0.1644 pbc="T T T"
Sc -1.2984 -2.7919 2.5441
Ni 0.0000 0.0000 0.0000
Nb -1.3856 0.4010 1.7379
Se 1.3436 -1.3156 1.3747
Se -1.2564 -1.8773 -0.5686

---

10.
4
Lattice="-1.1869 -2.4878 -1.5288 -0.8780 -2.0225 3.9728 -5.2274 2.4405 0.0872" Properties=species:S:1:pos:R:3 comment="CdReBr2 PBEsol optimized geometry" polymorph_energy_mev_per_atom=672.0 spacegroup="Pmmm, No. 47" raw_formation_energy_ev_per_atom=0.9507 pbc="T T T"
Re -3.0527 0.2090 2.0300
Br 0.0000 0.0000 0.0000
Br -3.2072 -0.0236 -0.7208
Cd -1.0325 -2.2551 1.2220

---

11.
5
Lattice="-0.9520 -2.8488 3.5567 4.5232 -1.0323 0.3839 0.5537 3.5343 2.9790" Properties=species:S:1:pos:R:3 comment="GaIrRh3 PBEsol optimized geometry" spacegroup="Pm-3m, No. 221" e_form_mev_per_atom=1374 pbc="T T T"
Ir 0.0000 0.0000 0.0000
Rh 2.2616 -0.5161 0.1919
Rh 0.2769 1.7671 1.4895
Rh -0.4760 -1.4244 1.7784
Ga 2.0625 -0.1734 3.4598

---

12.
6
Lattice="-0.2960 4.8206 -0.0285 -3.8846 2.1919 1.8526 0.3619 2.4662 4.1369" Properties=species:S:1:pos:R:3 comment="Co4SbAu PBEsol optimized geometry" spacegroup="F-43m, No. 216" raw_formation_energy_ev_per_atom=0.2668 pbc="T T T"
Au 0.0000 0.0000 0.0000
Co -1.4303 3.5501 2.2326
Co -1.2486 4.7877 4.3087
Co -1.5788 5.9693 2.2183
Co -3.3797 4.6501 3.1623
Sb -2.8640 7.1090 4.4707

---

Let's list N(E_F) in order: 0.27 0.50 0.50 0.51 0.03 0.63 0.61 0.40 0.88 0.75 1.00 1.66 states/eV per atom.